Tm5Sn2Ru | PBE-GGA | optimized geometry

Results
volume: 574.99 Å³ per cell
total moment: 0.00 μB/cell
energy of formation: -0.12 eV per atom

Lattice parameters (Å, degrees): 5.531 8.253 13.368 90.00 90.00 109.58
Sites, in units of the cell vectors:
Ru1 0.174 0.347 0.250
Ru2 0.826 0.653 0.750
Sn1 0.142 0.284 0.585
Sn2 0.858 0.716 0.085
Sn3 0.142 0.284 0.915
Sn4 0.858 0.716 0.415
Tm1 0.292 0.584 0.750
Tm2 0.281 0.563 0.093
Tm3 0.947 0.894 0.883
Tm4 0.719 0.437 0.593
Tm5 0.719 0.437 0.907
Tm6 0.053 0.106 0.383
Tm7 0.947 0.894 0.617
Tm8 0.281 0.563 0.407
Tm9 0.053 0.106 0.117
Tm10 0.708 0.416 0.250